Compound: La2Pm4Bi3N2
Source: Alexandria
Functional: PBE
Structure: relaxed

```
data_La2Pm4Bi3N2
_chemical_formula_sum 'La2 Pm4 Bi3 N2'
_symmetry_space_group_name_H-M 'P 1'
_symmetry_Int_Tables_number 1
_cell_length_a 4.864
_cell_length_b 4.864
_cell_length_c 13.794
_cell_angle_alpha 100.15
_cell_angle_beta 100.15
_cell_angle_gamma 90.00
loop_
_symmetry_equiv_pos_as_xyz
'x,y,z'
loop_
_atom_site_label
_atom_site_type_symbol
_atom_site_fract_x
_atom_site_fract_y
_atom_site_fract_z
Pm1 Pm 0.917 0.417 0.835
La1 La 0.690 0.690 0.380
Bi1 Bi 0.000 0.000 0.000
Bi2 Bi 0.177 0.177 0.354
N1 N 0.397 0.397 0.793
Pm2 Pm 0.417 0.917 0.835
La2 La 0.310 0.310 0.620
Bi3 Bi 0.823 0.823 0.646
Pm3 Pm 0.583 0.083 0.165
Pm4 Pm 0.083 0.583 0.165
N2 N 0.603 0.603 0.207
```

Summary:
Crystal system: tetragonal
Calculated total energy (eV/atom): -6.273
E_form (uncorrected) (kcal/mol of atoms): -24.8
Volume (A^3/atom): 28.729

=====

Compound: Pm2VSi3Pt4
Source: Alexandria
Functional: PBE
Structure: relaxed

```
data_Pm2VSi3Pt4
_chemical_formula_sum 'Pm2 V1 Si3 Pt4'
_symmetry_space_group_name_H-M 'P 1'
_symmetry_Int_Tables_number 1
_cell_length_a 4.222
_cell_length_b 4.222
_cell_length_c 10.107
_cell_angle_alpha 90.00
_cell_angle_beta 90.00
_cell_angle_gamma 90.00
loop_
_symmetry_equiv_pos_as_xyz
'x,y,z'
loop_
_atom_site_label
_atom_site_type_symbol
_atom_site_fract_x
_atom_site_fract_y
_atom_site_fract_z
Pt1 Pt 0.500 0.000 0.630
Pm1 Pm 0.500 0.000 0.251
Si1 Si 0.000 0.500 0.133
Si2 Si 0.000 0.000 0.500
Pt2 Pt 0.000 0.500 0.370
Si3 Si 0.500 0.000 0.867
Pt3 Pt 0.500 0.500 0.000
Pm2 Pm 0.000 0.500 0.749
Pt4 Pt 0.000 0.000 0.000
V1 V 0.500 0.500 0.500
```

Summary:
Crystal system: tetragonal
Calculated total energy (eV/atom): -6.916
E_form (uncorrected) (kcal/mol of atoms): -23.3
Volume (A^3/atom): 18.016

=====

> What is the volume in the first record?

28.729 A^3/atom

=====

What did the first record say?
Compound: La2Pm4Bi3N2
Source: Alexandria
Functional: PBE
Structure: relaxed

```
data_La2Pm4Bi3N2
_chemical_formula_sum 'La2 Pm4 Bi3 N2'
_symmetry_space_group_name_H-M 'P 1'
_symmetry_Int_Tables_number 1
_cell_length_a 4.864
_cell_length_b 4.864
_cell_length_c 13.794
_cell_angle_alpha 100.15
_cell_angle_beta 100.15
_cell_angle_gamma 90.00
loop_
_symmetry_equiv_pos_as_xyz
'x,y,z'
loop_
_atom_site_label
_atom_site_type_symbol
_atom_site_fract_x
_atom_site_fract_y
_atom_site_fract_z
Pm1 Pm 0.917 0.417 0.835
La1 La 0.690 0.690 0.380
Bi1 Bi 0.000 0.000 0.000
Bi2 Bi 0.177 0.177 0.354
N1 N 0.397 0.397 0.793
Pm2 Pm 0.417 0.917 0.835
La2 La 0.310 0.310 0.620
Bi3 Bi 0.823 0.823 0.646
Pm3 Pm 0.583 0.083 0.165
Pm4 Pm 0.083 0.583 0.165
N2 N 0.603 0.603 0.207
```

Summary:
Crystal system: tetragonal
Calculated total energy (eV/atom): -6.273
E_form (uncorrected) (kcal/mol of atoms): -24.8
Volume (A^3/atom): 28.729